Below is a relaxed KCSe2Br crystal, with properties calculated at the GGA-PBEsol level.

a b c (Å): 6.0077 6.1658 6.1658
angles (deg): 90.00 90.00 90.00
Positions (direct):
C 0.5000 0.5000 0.5000
K 0.0000 0.0000 0.0000
Se 0.0000 0.0000 0.5000
Se 0.0000 0.5000 0.0000
Br 0.5000 0.0000 0.0000

For the mass density, the calculation gives 2.10 g/cm³. As for the space group: P4/mmm (123). For the uncorrected formation energy, the calculation gives 2.147 eV per atom. Its total moment is 5.62 μB per cell.